The following is a PBE-GGA calculation of a geometry-optimized Cs3Hg2Pb5 structure, from the Alexandria database.

The structure in POSCAR format:
```
Cs3Hg2Pb5
1.0
7.303 -7.746 0.000
7.303 7.746 0.000
-1.992 0.000 7.223
Cs Hg Pb
6 4 10
direct
0.061 0.939 0.750
0.159 0.576 0.888
0.424 0.841 0.612
0.576 0.159 0.388
0.841 0.424 0.112
0.939 0.061 0.250
0.056 0.739 0.308
0.261 0.944 0.192
0.739 0.056 0.808
0.944 0.261 0.692
0.231 0.245 0.076
0.239 0.483 0.399
0.245 0.231 0.576
0.483 0.239 0.899
0.495 0.505 0.750
0.505 0.495 0.250
0.517 0.761 0.101
0.755 0.769 0.424
0.761 0.517 0.601
0.769 0.755 0.924
```

Output
Its space group is C2/c, No. 15. The formation energy is -0.149 eV per atom. The value obtained for the density of states at the Fermi level is 6.87 states/eV/cell. The total energy comes out at -46.4 eV for the cell shown. The total magnetic moment comes out at 0.000 μB/cell.

---

The following is a PBE-GGA calculation of a geometry-optimized CsHg11Pb structure, from the Alexandria database.

The structure in POSCAR format:
```
CsHg11Pb
1.0
3.152 -7.643 0.000
3.152 7.643 0.000
-2.119 0.000 8.551
Cs Hg Pb
1 11 1
direct
0.000 0.000 0.000
0.000 0.000 0.500
0.000 0.500 0.000
0.039 0.678 0.642
0.293 0.535 0.773
0.322 0.961 0.358
0.465 0.707 0.227
0.500 0.000 0.000
0.535 0.293 0.773
0.678 0.039 0.642
0.707 0.465 0.227
0.961 0.322 0.358
0.500 0.500 0.500
```

Output
Its space group is C2/m, No. 12. The formation energy is -0.069 eV per atom. The value obtained for the density of states at the Fermi level is 4.80 states/eV/cell. The total energy comes out at -8.8 eV for the cell shown. The total magnetic moment comes out at 0.000 μB/cell.